(1)
Entry from Alexandria: a geometry-optimized InW2Se structure (PBE).

The structure in POSCAR format:
```
InW2Se
1.0
3.173 0.000 0.000
0.000 3.173 0.000
0.000 0.000 7.743
In W Se
1 2 1
Direct
0.000 0.000 0.000 In
0.000 0.000 0.551 W
0.500 0.500 0.749 W
0.500 0.500 0.361 Se
```

Output
ρ, Mg/m³: 12.0
Calculated volume, A^3/atom: 19.49
Total DFT energy (no corrections), eV/atom: -7.73
Uncorrected formation energy, eV per atom: 0.30



(2)
Entry from Alexandria: a geometry-optimized Tl2V2Tc structure (PBE).

The structure in POSCAR format:
```
Tl2V2Tc
1.0
-1.692 1.692 8.138
1.692 -1.692 8.138
1.692 1.692 -8.138
Tl V Tc
2 2 1
Direct
0.102 0.102 0.000 Tl
0.898 0.898 0.000 Tl
0.250 0.750 0.500 V
0.750 0.250 0.500 V
0.500 0.500 0.000 Tc
```

Output
ρ, Mg/m³: 10.8
Calculated volume, A^3/atom: 18.63
Formation enthalpy at 0 K, eV per atom: 0.84
Total DFT energy (no corrections), eV/atom: -5.83



no.,energy above the lowest structure with this stoichiometry (eV/atom)
1,0.004
2,0.000